The following is a DFT calculation (PBE) of a geometry-optimized BaSmEr structure.

a = 3.791 Å, b = 3.791 Å, c = 8.638 Å
α = 102.68°, β = 102.68°, γ = 90.00°
Positions (direct):
Sm: 0.318 0.318 0.635
Er: 0.682 0.682 0.363
Ba: 0.001 0.001 0.001

Results
Its volume is 118.0 Å³/f.u. Its mass density is 6.40 g/cm3. Its space group is I4mm (107). The calculated formation energy comes out at 0.180 eV per atom.